#one
## AgAs2W (SCAN)

Data for AgAs2W at its PBEsol-relaxed geometry.

Output
Crystal system: trigonal

The structure in CIF format:
```
data_AgAs2W
_chemical_formula_sum 'Ag3 As6 W3'
_cell_length_a 3.1084
_cell_length_b 3.1084
_cell_length_c 24.5664
_cell_angle_alpha 90.00
_cell_angle_beta 90.00
_cell_angle_gamma 120.00
_space_group_name_H-M_alt 'R -3 m'
_space_group_IT_number 166
_space_group_name_Hall '-R 3 2"'
loop_
_atom_site_label
_atom_site_fract_x
_atom_site_fract_y
_atom_site_fract_z
Ag1 0.0000 0.0000 0.0000
As1 0.0000 0.0000 0.2417
W1 0.0000 0.0000 0.5000
```

#two
## AgAs2W (SCAN)

Data for AgAs2W at its PBEsol-relaxed geometry.

Output
Crystal system: tetragonal

The structure in CIF format:
```
data_AgAs2W
_chemical_formula_sum 'Ag1 As2 W1'
_cell_length_a 3.526
_cell_length_b 3.526
_cell_length_c 5.367
_cell_angle_alpha 90.00
_cell_angle_beta 90.00
_cell_angle_gamma 90.00
_space_group_name_H-M_alt 'P 4 m m'
_space_group_IT_number 99
loop_
_space_group_symop_operation_xyz
'x,y,z'
'-y,x,z'
'-x,-y,z'
'y,-x,z'
'-x,y,z'
'y,x,z'
'x,-y,z'
'-y,-x,z'
loop_
_atom_site_label
_atom_site_fract_x
_atom_site_fract_y
_atom_site_fract_z
Ag1 0.000 0.000 0.000
As1 0.000 0.000 0.514
As2 0.500 0.500 0.154
W1 0.500 0.500 0.678
```

Computed relative energies in units of meV/atom: #one 0; #two 275

#one
## ZnAg2As (SCAN)

Data for ZnAg2As at its PBEsol-relaxed geometry.

Output
Crystal system: orthorhombic

The structure in CIF format:
```
data_ZnAg2As
_chemical_formula_sum 'Zn1 Ag2 As1'
_cell_length_a 3.100
_cell_length_b 3.808
_cell_length_c 5.583
_cell_angle_alpha 90.00
_cell_angle_beta 90.00
_cell_angle_gamma 90.00
_space_group_name_H-M_alt 'P m m 2'
_space_group_IT_number 25
loop_
_space_group_symop_operation_xyz
'x,y,z'
'-x,-y,z'
'-x,y,z'
'x,-y,z'
loop_
_atom_site_label
_atom_site_fract_x
_atom_site_fract_y
_atom_site_fract_z
Zn1 0.000 0.000 0.000
Ag1 0.000 0.000 0.493
Ag2 0.500 0.500 0.230
As1 0.500 0.500 0.742
```

#two
## ZnAg2As (SCAN)

Data for ZnAg2As at its PBEsol-relaxed geometry.

Output
Crystal system: orthorhombic

The structure in CIF format:
```
data_ZnAg2As
_chemical_formula_sum 'Zn2 Ag4 As2'
_cell_length_a 5.651
_cell_length_b 8.196
_cell_length_c 2.852
_cell_angle_alpha 90.00
_cell_angle_beta 90.00
_cell_angle_gamma 90.00
_space_group_name_H-M_alt 'C m m m'
_space_group_IT_number 65
_space_group_name_Hall '-C 2 2'
loop_
_atom_site_label
_atom_site_fract_x
_atom_site_fract_y
_atom_site_fract_z
Zn1 0.000 0.000 0.000
Ag1 0.250 0.250 0.500
As1 0.000 0.500 0.000
```

Computed relative energies in units of meV/atom: #one 0; #two 37

#one
## ZrAg3As (SCAN)

Data for ZrAg3As at its PBEsol-relaxed geometry.

Output
Crystal system: cubic

The structure in CIF format:
```
data_ZrAg3As
_chemical_formula_sum 'Zr1 Ag3 As1'
_cell_length_a 4.739
_cell_length_b 4.739
_cell_length_c 4.739
_cell_angle_alpha 90.00
_cell_angle_beta 90.00
_cell_angle_gamma 90.00
_space_group_name_H-M_alt 'P m -3 m'
_space_group_IT_number 221
_space_group_name_Hall '-P 4 2 3'
loop_
_atom_site_label
_atom_site_fract_x
_atom_site_fract_y
_atom_site_fract_z
Zr1 0.000 0.000 0.000
Ag1 0.000 0.500 0.500
As1 0.500 0.500 0.500
```

#two
## ZrAg3As (SCAN)

Data for ZrAg3As at its PBEsol-relaxed geometry.

Output
Crystal system: cubic

The structure in CIF format:
```
data_ZrAg3As
_chemical_formula_sum 'Zr1 Ag3 As1'
_cell_length_a 5.072
_cell_length_b 5.072
_cell_length_c 5.072
_cell_angle_alpha 90.00
_cell_angle_beta 90.00
_cell_angle_gamma 90.00
_space_group_name_H-M_alt 'P m -3 m'
_space_group_IT_number 221
_space_group_name_Hall '-P 4 2 3'
loop_
_atom_site_label
_atom_site_fract_x
_atom_site_fract_y
_atom_site_fract_z
Zr1 0.000 0.000 0.000
Ag1 0.000 0.000 0.500
As1 0.500 0.500 0.500
```

Computed relative energies in units of meV/atom: #one 0; #two 891

#one
## Ag5Au (SCAN)

Data for Ag5Au at its PBEsol-relaxed geometry.

Output
Crystal system: hexagonal

The structure in CIF format:
```
data_Ag5Au
_chemical_formula_sum 'Ag5 Au1'
_cell_length_a 4.9348
_cell_length_b 4.9348
_cell_length_c 4.7319
_cell_angle_alpha 90.00
_cell_angle_beta 90.00
_cell_angle_gamma 120.00
_space_group_name_H-M_alt 'P -6 2 m'
_space_group_IT_number 189
_space_group_name_Hall 'P -6 -2'
loop_
_atom_site_label
_atom_site_fract_x
_atom_site_fract_y
_atom_site_fract_z
Ag1 0.0000 0.3322 0.0000
Ag2 0.3333 0.6667 0.5000
Au1 0.0000 0.0000 0.5000
```

#two
## Ag5Au (SCAN)

Data for Ag5Au at its PBEsol-relaxed geometry.

Output
Crystal system: tetragonal

The structure in CIF format:
```
data_Ag5Au
_chemical_formula_sum 'Ag5 Au1'
_cell_length_a 2.843
_cell_length_b 2.843
_cell_length_c 12.318
_cell_angle_alpha 90.00
_cell_angle_beta 90.00
_cell_angle_gamma 90.00
_space_group_name_H-M_alt 'P 4/m m m'
_space_group_IT_number 123
_space_group_name_Hall '-P 4 2'
loop_
_atom_site_label
_atom_site_fract_x
_atom_site_fract_y
_atom_site_fract_z
Ag1 0.000 0.000 0.000
Ag2 0.000 0.000 0.332
Ag3 0.500 0.500 0.166
Au1 0.500 0.500 0.500
```

Computed relative energies in units of meV/atom: #one 0; #two 10

#one
## Ag5Au (SCAN)

Data for Ag5Au at its PBEsol-relaxed geometry.

Output
Crystal system: orthorhombic

The structure in CIF format:
```
data_Ag5Au
_chemical_formula_sum 'Ag10 Au2'
_cell_length_a 4.040
_cell_length_b 12.099
_cell_length_c 4.074
_cell_angle_alpha 90.00
_cell_angle_beta 90.00
_cell_angle_gamma 90.00
_space_group_name_H-M_alt 'C m m m'
_space_group_IT_number 65
_space_group_name_Hall '-C 2 2'
loop_
_atom_site_label
_atom_site_fract_x
_atom_site_fract_y
_atom_site_fract_z
Ag1 0.000 0.000 0.000
Ag2 0.000 0.167 0.500
Ag3 0.000 0.333 0.000
Au1 0.000 0.500 0.500
```

#two
## Ag5Au (SCAN)

Data for Ag5Au at its PBEsol-relaxed geometry.

Output
Crystal system: orthorhombic

The structure in CIF format:
```
data_Ag5Au
_chemical_formula_sum 'Ag10 Au2'
_cell_length_a 4.711
_cell_length_b 2.851
_cell_length_c 14.847
_cell_angle_alpha 90.00
_cell_angle_beta 90.00
_cell_angle_gamma 90.00
_space_group_name_H-M_alt 'A m m 2'
_space_group_IT_number 38
loop_
_space_group_symop_operation_xyz
'x,y,z'
'-x,-y,z'
'-x,y,z'
'x,-y,z'
'x,y+1/2,z+1/2'
'-x,-y+1/2,z+1/2'
'-x,y+1/2,z+1/2'
'x,-y+1/2,z+1/2'
loop_
_atom_site_label
_atom_site_fract_x
_atom_site_fract_y
_atom_site_fract_z
Ag1 0.000 0.000 0.000
Ag2 0.000 0.000 0.333
Ag3 0.000 0.000 0.666
Ag4 0.500 0.000 0.222
Ag5 0.500 0.000 0.556
Au1 0.500 0.000 0.889
```

Computed relative energies in units of meV/atom: #one 0; #two 12

#one
## Ag2Au3 (SCAN)

Data for Ag2Au3 at its PBEsol-relaxed geometry.

Output
Crystal system: trigonal

The structure in CIF format:
```
data_Ag2Au3
_chemical_formula_sum 'Ag6 Au9'
_cell_length_a 2.8716
_cell_length_b 2.8716
_cell_length_c 35.1377
_cell_angle_alpha 90.00
_cell_angle_beta 90.00
_cell_angle_gamma 120.00
_space_group_name_H-M_alt 'R -3 m'
_space_group_IT_number 166
_space_group_name_Hall '-R 3 2"'
loop_
_atom_site_label
_atom_site_fract_x
_atom_site_fract_y
_atom_site_fract_z
Ag1 0.0000 0.0000 0.1001
Au1 0.0000 0.0000 0.2993
Au2 0.0000 0.0000 0.5000
```

#two
## Ag2Au3 (SCAN)

Data for Ag2Au3 at its PBEsol-relaxed geometry.

Output
Crystal system: monoclinic

The structure in CIF format:
```
data_Ag2Au3
_chemical_formula_sum 'Ag4 Au6'
_cell_length_a 9.510
_cell_length_b 2.889
_cell_length_c 7.021
_cell_angle_alpha 90.00
_cell_angle_beta 119.86
_cell_angle_gamma 90.00
_space_group_name_H-M_alt 'C 1 2/m 1'
_space_group_IT_number 12
loop_
_space_group_symop_operation_xyz
'x,y,z'
'-x,-y,-z'
'-x,y,-z'
'x,-y,z'
'x+1/2,y+1/2,z'
'-x+1/2,-y+1/2,-z'
'-x+1/2,y+1/2,-z'
'x+1/2,-y+1/2,z'
loop_
_atom_site_label
_atom_site_fract_x
_atom_site_fract_y
_atom_site_fract_z
Ag1 0.199 0.000 0.299
Au1 0.000 0.000 0.500
Au2 0.099 0.500 0.898
```

#three
## Ag2Au3 (SCAN)

Data for Ag2Au3 at its PBEsol-relaxed geometry.

Output
Crystal system: orthorhombic

The structure in CIF format:
```
data_Ag2Au3
_chemical_formula_sum 'Ag16 Au24'
_cell_length_a 9.741
_cell_length_b 13.898
_cell_length_c 5.018
_cell_angle_alpha 90.00
_cell_angle_beta 90.00
_cell_angle_gamma 90.00
_space_group_name_H-M_alt 'F d d 2'
_space_group_IT_number 43
_space_group_name_Hall 'F 2 -2d'
loop_
_atom_site_label
_atom_site_fract_x
_atom_site_fract_y
_atom_site_fract_z
Ag1 0.018 0.299 0.000
Au1 0.000 0.000 0.461
Au2 0.029 0.400 0.476
```

#four
## Ag2Au3 (SCAN)

Data for Ag2Au3 at its PBEsol-relaxed geometry.

Output
Crystal system: tetragonal

The structure in CIF format:
```
data_Ag2Au3
_chemical_formula_sum 'Ag4 Au6'
_cell_length_a 2.852
_cell_length_b 2.852
_cell_length_c 20.553
_cell_angle_alpha 90.00
_cell_angle_beta 90.00
_cell_angle_gamma 90.00
_space_group_name_H-M_alt 'I 4/m m m'
_space_group_IT_number 139
_space_group_name_Hall '-I 4 2'
loop_
_atom_site_label
_atom_site_fract_x
_atom_site_fract_y
_atom_site_fract_z
Ag1 0.000 0.000 0.100
Au1 0.000 0.000 0.301
Au2 0.000 0.000 0.500
```

Computed relative energies in units of meV/atom: #one 18; #two 7; #three 36; #four 0